PmDy4Ho3S8: optimized geometry, PBE.

Properties
E_tot, eV/atom: -6.3535
Fermi-level density of states, states/eV per atom: 0.5527
Calculated density, g cm⁻³: 7.56
Total magnetic moment, μB per atom: 0.000
Symmetry: R-3m, No. 166

```
data_PmDy4Ho3S8
_space_group_name_H-M_alt 'P 1'
_space_group_IT_number 1
_space_group_name_Hall 'P 1'
_cell_length_a 7.828
_cell_length_b 7.828
_cell_length_c 7.828
_cell_angle_alpha 60.04
_cell_angle_beta 60.04
_cell_angle_gamma 60.04
loop_
_atom_site_label
_atom_site_type_symbol
_atom_site_fract_x
_atom_site_fract_y
_atom_site_fract_z
_atom_site_occupancy
Pm1 Pm 0.000 0.000 0.000 1
Dy1 Dy 0.000 0.000 0.500 1
Dy2 Dy 0.000 0.500 0.000 1
Dy3 Dy 0.500 0.000 0.000 1
Dy4 Dy 0.500 0.500 0.500 1
Ho1 Ho 0.000 0.500 0.500 1
Ho2 Ho 0.500 0.000 0.500 1
Ho3 Ho 0.500 0.500 0.000 1
S1 S 0.251 0.251 0.251 1
S2 S 0.254 0.254 0.744 1
S3 S 0.254 0.744 0.254 1
S4 S 0.256 0.746 0.746 1
S5 S 0.744 0.254 0.254 1
S6 S 0.746 0.256 0.746 1
S7 S 0.746 0.746 0.256 1
S8 S 0.749 0.749 0.749 1
```